AcPuMgSn2 | GGA-PBE | optimized geometry

The density of states at the Fermi level comes out at 2.6681 states/eV per atom. The calculation puts the total energy at -5.951 eV/atom. The mass density comes out at 7.87 g/cm³. Its calculated volume is 154.7 Å³ per cell. Its space group is I-4m2 (119). The magnetic moment comes out at 5.6 μB per formula unit.

```
data_AcPuMgSn2
_space_group_name_H-M_alt 'P 1'
_space_group_IT_number 1
_space_group_name_Hall 'P 1'
_cell_length_a 7.491
_cell_length_b 7.491
_cell_length_c 7.491
_cell_angle_alpha 142.51
_cell_angle_beta 142.51
_cell_angle_gamma 54.06
loop_
_atom_site_label
_atom_site_type_symbol
_atom_site_fract_x
_atom_site_fract_y
_atom_site_fract_z
_atom_site_occupancy
Ac1 Ac 0.000 0.000 0.000 1
Pu1 Pu 0.250 0.750 0.500 1
Mg1 Mg 0.750 0.250 0.500 1
Sn1 Sn 0.391 0.391 0.000 1
Sn2 Sn 0.609 0.609 0.000 1
```